# 1
First-principles (PBE-GGA) data for a geometry-optimized CoOs2I structure, as listed in Alexandria.

Computed properties:
Formation energy (no corrections) in meV per atom: 1237
Total moment in μB/f.u.: 0.0
Total energy in eV/atom: -6.54
Distance to the lowest polymorph of the same formula in kJ/mol of formula units: 0.0

a b c (Å): 3.816 3.816 9.867
angles (deg): 78.85 78.85 90.00
Atoms (fractional coordinates):
Os 0.564 0.125 0.250
Os 0.186 0.625 0.250
Os 0.875 0.814 0.750
Os 0.375 0.436 0.750
I 0.750 0.250 0.500
I 0.000 0.000 0.000
Co 0.250 0.750 0.500
Co 0.500 0.500 0.000

***

# 2
First-principles (PBE-GGA) data for a geometry-optimized Pu2Sb3Pd4Au structure, as listed in Alexandria.

Computed properties:
Formation energy (no corrections) in meV per atom: -532
Total moment in μB/f.u.: 11.0
Total energy in eV/atom: -7.04

a b c (Å): 4.362 4.362 11.477
angles (deg): 90.00 90.00 90.00
Last column: magnetic moment on the atom in μB.
Atoms (fractional coordinates):
Pd 0.500 0.000 0.645  -0.03
Pd 0.500 0.500 0.000  0.00
Pd 0.000 0.500 0.355  -0.03
Pd 0.000 0.000 0.000  -0.01
Sb 0.000 0.000 0.500  -0.04
Sb 0.000 0.500 0.133  -0.02
Sb 0.500 0.000 0.867  -0.02
Pu 0.000 0.500 0.743  5.36
Pu 0.500 0.000 0.257  5.36
Au 0.500 0.500 0.500  -0.01

***

- Among the records above, which one has the lowest total energy?
  Pu2Sb3Pd4Au